PrY9Sc2: relaxed, PBE-GGA.

CIF file:
```
data_PrY9Sc2
_chemical_formula_sum 'Pr1 Y9 Sc2'
_space_group_name_H-M_alt 'P 1'
_space_group_IT_number 1
_cell_length_a 5.003
_cell_length_b 5.003
_cell_length_c 14.991
_cell_angle_alpha 90.00
_cell_angle_beta 90.00
_cell_angle_gamma 90.00
loop_
_space_group_symop_operation_xyz
'x,y,z'
loop_
_atom_site_label
_atom_site_type_symbol
_atom_site_fract_x
_atom_site_fract_y
_atom_site_fract_z
_atom_site_occupancy
Pr1 Pr 0.000 0.000 0.000 1
Y1 Y 0.500 0.500 0.000 1
Y2 Y 0.500 0.500 0.338 1
Y3 Y 0.500 0.500 0.662 1
Y4 Y 0.500 0.000 0.174 1
Y5 Y 0.500 0.000 0.500 1
Y6 Y 0.500 0.000 0.826 1
Y7 Y 0.000 0.500 0.174 1
Y8 Y 0.000 0.500 0.500 1
Y9 Y 0.000 0.500 0.826 1
Sc1 Sc 0.000 0.000 0.336 1
Sc2 Sc 0.000 0.000 0.664 1
```

ΔH_f (0 K) ... 0.526 eV/f.u.
SG ... No. 123
Raw total energy ... -6.258 eV/atom

LuCo4Bi: relaxed, PBE-GGA.

CIF file:
```
data_LuCo4Bi
_chemical_formula_sum 'Lu1 Co4 Bi1'
_space_group_name_H-M_alt 'P 1'
_space_group_IT_number 1
_cell_length_a 5.061
_cell_length_b 5.061
_cell_length_c 5.061
_cell_angle_alpha 60.00
_cell_angle_beta 60.00
_cell_angle_gamma 60.00
loop_
_space_group_symop_operation_xyz
'x,y,z'
loop_
_atom_site_label
_atom_site_type_symbol
_atom_site_fract_x
_atom_site_fract_y
_atom_site_fract_z
_atom_site_occupancy
Lu1 Lu 0.000 0.000 0.000 1
Co1 Co 0.626 0.626 0.123 1
Co2 Co 0.626 0.123 0.626 1
Co3 Co 0.626 0.626 0.626 1
Co4 Co 0.123 0.626 0.626 1
Bi1 Bi 0.250 0.250 0.250 1
```

ΔH_f (0 K) ... -0.114 eV/f.u.
SG ... No. 216
Raw total energy ... -6.157 eV/atom

FeAs2RhI: relaxed, PBE-GGA.

CIF file:
```
data_FeAs2RhI
_chemical_formula_sum 'Fe1 As2 Rh1 I1'
_space_group_name_H-M_alt 'P 1'
_space_group_IT_number 1
_cell_length_a 5.345
_cell_length_b 4.594
_cell_length_c 5.345
_cell_angle_alpha 90.00
_cell_angle_beta 90.00
_cell_angle_gamma 90.00
loop_
_space_group_symop_operation_xyz
'x,y,z'
loop_
_atom_site_label
_atom_site_type_symbol
_atom_site_fract_x
_atom_site_fract_y
_atom_site_fract_z
_atom_site_occupancy
I1 I 0.000 0.000 0.000 1
As1 As 0.000 0.000 0.500 1
As2 As 0.500 0.000 0.000 1
Rh1 Rh 0.500 0.500 0.500 1
Fe1 Fe 0.000 0.500 0.000 1
```

SG ... No. 123
E_form (uncorrected) ... 1811 meV/atom
Raw total energy ... -3.522 eV/atom

NdDy3Er: relaxed, PBE-GGA.

CIF file:
```
data_NdDy3Er
_chemical_formula_sum 'Nd2 Dy6 Er2'
_space_group_name_H-M_alt 'P 1'
_space_group_IT_number 1
_cell_length_a 9.608
_cell_length_b 5.674
_cell_length_c 6.294
_cell_angle_alpha 90.00
_cell_angle_beta 109.04
_cell_angle_gamma 90.00
loop_
_space_group_symop_operation_xyz
'x,y,z'
loop_
_atom_site_label
_atom_site_type_symbol
_atom_site_fract_x
_atom_site_fract_y
_atom_site_fract_z
_atom_site_occupancy
Nd1 Nd 0.200 0.450 0.432 1
Nd2 Nd 0.800 0.950 0.568 1
Dy1 Dy 0.202 0.950 0.768 1
Dy2 Dy 0.001 0.450 0.836 1
Dy3 Dy 0.598 0.450 0.635 1
Dy4 Dy 0.402 0.950 0.365 1
Dy5 Dy 0.999 0.950 0.164 1
Dy6 Dy 0.798 0.450 0.232 1
Er1 Er 0.599 0.950 0.967 1
Er2 Er 0.401 0.450 0.033 1
```

ΔH_f (0 K) ... 0.074 eV/f.u.
SG ... No. 11
Relative energy among the computed polymorphs ... 0 meV/atom
Raw total energy ... -4.613 eV/atom

LaIn2RuI: relaxed, PBE-GGA.

CIF file:
```
data_LaIn2RuI
_chemical_formula_sum 'La1 In2 Ru1 I1'
_space_group_name_H-M_alt 'P 1'
_space_group_IT_number 1
_cell_length_a 5.269
_cell_length_b 5.269
_cell_length_c 5.361
_cell_angle_alpha 90.00
_cell_angle_beta 90.00
_cell_angle_gamma 90.00
loop_
_space_group_symop_operation_xyz
'x,y,z'
loop_
_atom_site_label
_atom_site_type_symbol
_atom_site_fract_x
_atom_site_fract_y
_atom_site_fract_z
_atom_site_occupancy
I1 I 0.500 0.500 0.500 1
Ru1 Ru 0.000 0.000 0.000 1
In1 In 0.000 0.500 0.000 1
In2 In 0.500 0.000 0.000 1
La1 La 0.000 0.000 0.500 1
```

SG ... No. 123
E_form (uncorrected) ... -531 meV/atom
Raw total energy ... -4.777 eV/atom

Mg2AsPbO6: relaxed, PBE-GGA.

CIF file:
```
data_Mg2AsPbO6
_chemical_formula_sum 'Mg4 As2 Pb2 O12'
_space_group_name_H-M_alt 'P 1'
_space_group_IT_number 1
_cell_length_a 6.464
_cell_length_b 7.523
_cell_length_c 7.523
_cell_angle_alpha 103.50
_cell_angle_beta 72.18
_cell_angle_gamma 72.18
loop_
_space_group_symop_operation_xyz
'x,y,z'
loop_
_atom_site_label
_atom_site_type_symbol
_atom_site_fract_x
_atom_site_fract_y
_atom_site_fract_z
_atom_site_occupancy
Mg1 Mg 0.365 0.702 0.537 1
Mg2 Mg 0.135 0.463 0.298 1
Mg3 Mg 0.635 0.298 0.463 1
Mg4 Mg 0.865 0.537 0.702 1
As1 As 0.250 0.184 0.816 1
As2 As 0.750 0.816 0.184 1
Pb1 Pb 0.250 0.898 0.102 1
Pb2 Pb 0.750 0.102 0.898 1
O1 O 0.209 0.961 0.787 1
O2 O 0.291 0.213 0.039 1
O3 O 0.791 0.039 0.213 1
O4 O 0.709 0.787 0.961 1
O5 O 0.488 0.836 0.348 1
O6 O 0.012 0.652 0.164 1
O7 O 0.512 0.164 0.652 1
O8 O 0.988 0.348 0.836 1
O9 O 0.060 0.671 0.568 1
O10 O 0.440 0.432 0.329 1
O11 O 0.940 0.329 0.432 1
O12 O 0.560 0.568 0.671 1
```

SG ... No. 15
E_form (uncorrected) ... -1647 meV/atom
Raw total energy ... -5.776 eV/atom